Version 1
## Ac2Zn3Sn5 (PBE)

Data for an optimized crystal structure of Ac2Zn3Sn5.

Output
The value obtained for the density of states at the Fermi level is 0.403 states/eV/atom. The size of the total moment comes out at 0.00 μB/f.u.

a = 7.0318 Å, b = 9.6793 Å, c = 9.6793 Å
α = 64.09°, β = 68.70°, γ = 68.70°
Element x y z (fractional)
Zn 0.3787 0.4991 0.7434
Sn 0.7500 0.5000 0.5000
Zn 0.6213 0.5009 0.2566
Zn 0.7500 0.0000 0.0000
Ac 0.1215 0.6390 0.1180
Ac 0.8785 0.3610 0.8820
Sn 0.9886 0.2614 0.2614
Zn 0.2500 0.0000 0.0000
Sn 0.6133 0.7647 0.0086
Ac 0.3785 0.8820 0.3610
Zn 0.8787 0.7434 0.4991
Zn 0.1213 0.2566 0.5009
Sn 0.8867 0.9914 0.2353
Ac 0.6215 0.1180 0.6390
Sn 0.0114 0.7386 0.7386
Sn 0.2500 0.5000 0.5000
Sn 0.3867 0.2353 0.9914
Sn 0.1133 0.0086 0.7647
Sn 0.4886 0.2614 0.2614
Sn 0.5114 0.7386 0.7386

***

Version 2
## Ac2Zn3Sn5 (PBE)

Data for an optimized crystal structure of Ac2Zn3Sn5.

Output
The value obtained for the density of states at the Fermi level is 0.562 states/eV/atom. The size of the total moment comes out at 0.00 μB/f.u.

a = 4.6126 Å, b = 4.6126 Å, c = 12.8786 Å
α = 90.00°, β = 90.00°, γ = 90.00°
Element x y z (fractional)
Sn 0.5000 0.5000 0.5000
Sn 0.5000 0.0000 0.8201
Ac 0.5000 0.0000 0.2823
Zn 0.0000 0.5000 0.3884
Zn 0.5000 0.0000 0.6116
Sn 0.5000 0.5000 0.0000
Sn 0.0000 0.5000 0.1799
Ac 0.0000 0.5000 0.7177
Zn 0.0000 0.0000 0.5000
Sn 0.0000 0.0000 0.0000

***

Which is most stable, and by how much? version 1, by 53 meV per atom.

***

Version 1
## Ac2Zn2Sn3 (PBE)

Data for an optimized crystal structure of Ac2Zn2Sn3.

Output
The value obtained for the density of states at the Fermi level is 0.200 states/eV/atom. The size of the total moment comes out at 0.00 μB/f.u.

a = 4.8628 Å, b = 7.3583 Å, c = 11.3112 Å
α = 90.00°, β = 102.41°, γ = 90.00°
Element x y z (fractional)
Sn 0.4274 0.5513 0.8548
Zn 0.6930 0.5513 0.3860
Ac 0.9650 0.2500 0.9301
Sn 0.4274 0.9487 0.8548
Zn 0.3070 0.4487 0.6140
Zn 0.3070 0.0513 0.6140
Ac 0.8338 0.7500 0.6677
Sn 0.5726 0.4487 0.1452
Sn 0.5726 0.0513 0.1452
Sn 0.2106 0.7500 0.4211
Sn 0.7894 0.2500 0.5789
Ac 0.1662 0.2500 0.3323
Zn 0.6930 0.9487 0.3860
Ac 0.0350 0.7500 0.0699

***

Version 2
## Ac2Zn2Sn3 (PBE)

Data for an optimized crystal structure of Ac2Zn2Sn3.

Output
The value obtained for the density of states at the Fermi level is 0.397 states/eV/atom. The size of the total moment comes out at 0.00 μB/f.u.

a = 4.6637 Å, b = 6.1915 Å, c = 7.6052 Å
α = 106.26°, β = 90.00°, γ = 112.12°
Element x y z (fractional)
Sn 0.6111 0.2222 0.4374
Sn 0.3889 0.7778 0.5626
Zn 0.8381 0.6762 0.7502
Zn 0.1619 0.3238 0.2498
Sn 0.5000 0.0000 0.0000
Ac 0.8594 0.7187 0.2143
Ac 0.1406 0.2813 0.7857

***

Which is most stable, and by how much? version 1, by 22 meV per atom.